No. 1
The following is a PBE calculation of a relaxed structure of Hf2Os, from OQMD.

Cell: 11.334 11.334 11.334 Å, 90.00 90.00 90.00°
Space group Fd-3m (No. 227, origin choice 2)
One atom of each set of equivalent atoms:
Hf  0.000  0.000  0.000 [16 per cell]
Os  0.125  0.125  0.125 [8 per cell]

Output
crystal system = cubic
calculated total energy = -199.5 eV for the cell shown



No. 2
The following is a PBE calculation of a relaxed structure of GdDyGe2Pd4, from OQMD.

Cell: 4.3993 4.3993 9.0784 Å, 90.00 90.00 120.00°
Space group P-6m2 (No. 187)
One atom of each set of equivalent atoms:
Gd  0.0000  0.0000  0.0000 [1 per cell]
Dy  0.3333  0.6667  0.5000 [1 per cell]
Ge  0.6667  0.3333  0.2515 [2 per cell]
Pd  0.0000  0.0000  0.3325 [2 per cell]
Pd  0.3333  0.6667  0.1703 [2 per cell]

Output
crystal system = hexagonal
calculated total energy = -45.9 eV for the cell shown



No. 3
The following is a PBE calculation of a relaxed structure of LuFeCuBi, from OQMD.

Cell: 6.672 6.672 6.672 Å, 90.00 90.00 90.00°
Space group F-43m (No. 216)
One atom of each set of equivalent atoms:
Lu  0.000  0.000  0.000 [4 per cell]
Fe  0.250  0.250  0.250 [4 per cell]
Cu  0.250  0.250  0.750 [4 per cell]
Bi  0.000  0.000  0.500 [4 per cell]

Output
crystal system = cubic
calculated total energy = -81.0 eV for the cell shown



No. 4
The following is a PBE calculation of a relaxed structure of TbNb, from OQMD.

Cell: 6.675 6.675 6.675 Å, 90.00 90.00 90.00°
Space group F-43m (No. 216)
One atom of each set of equivalent atoms:
Tb  0.000  0.000  0.000 [4 per cell]
Nb  0.250  0.250  0.250 [4 per cell]

Output
crystal system = cubic
calculated total energy = -39.0 eV for the cell shown



No. 5
The following is a PBE calculation of a relaxed structure of SmAgTe2PbSe, from OQMD.

Cell: 4.377 14.719 10.843 Å, 90.00 90.00 90.00°
Space group Cmcm (No. 63)
One atom of each set of equivalent atoms:
Sm  0.000  0.000  0.000 [4 per cell]
Ag  0.000  0.476  0.250 [4 per cell]
Te  0.000  0.350  0.057 [8 per cell]
Pb  0.000  0.255  0.750 [4 per cell]
Se  0.000  0.084  0.250 [4 per cell]

Output
crystal system = orthorhombic
calculated total energy = -103.5 eV for the cell shown



No. 6
The following is a PBE calculation of a relaxed structure of LiAgPbSe2S, from OQMD.

Cell: 4.134 12.324 11.166 Å, 90.00 90.00 90.00°
Space group Cmcm (No. 63)
One atom of each set of equivalent atoms:
Li  0.000  0.139  0.250 [4 per cell]
Ag  0.000  0.114  0.750 [4 per cell]
Pb  0.000  0.500  0.000 [4 per cell]
Se  0.000  0.167  0.520 [8 per cell]
S  0.000  0.466  0.750 [4 per cell]

Output
crystal system = orthorhombic
calculated total energy = -86.8 eV for the cell shown